LaGaGeAu2: relaxed, PBE-GGA.

a b c (Å): 4.433 4.433 10.834
angles (deg): 90.00 90.00 90.00
Fractional positions:
Au 0.000 0.000 0.000
Au 0.500 0.500 0.000
Au 0.500 0.000 0.370
Au 0.000 0.500 0.630
Ga 0.000 0.000 0.500
Ga 0.500 0.500 0.500
Ge 0.500 0.000 0.137
Ge 0.000 0.500 0.863
La 0.000 0.500 0.244
La 0.500 0.000 0.756

Output
- Energy: -4.5021 eV per atom